[1]
{"formula": "Li2AlPb", "functional": "GGA-PBEsol", "state": "optimized geometry", "lattice": [[4.251, 0.000, 0.000], [0.000, 4.251, 0.000], [0.000, 0.000, 8.341]], "species": ["Li", "Li", "Li", "Li", "Al", "Al", "Pb", "Pb"], "fractional_positions": [[0.000, 0.500, 0.250], [0.000, 0.500, 0.750], [0.500, 0.000, 0.250], [0.500, 0.000, 0.750], [0.000, 0.000, 0.000], [0.500, 0.500, 0.500], [0.000, 0.000, 0.500], [0.500, 0.500, 0.000]], "ef_ev_per_atom": -0.162, "space_group": "No. 139", "crystal_system": "tetragonal"}

---

[2]
{"formula": "LaAlP4", "functional": "GGA-PBEsol", "state": "optimized geometry", "lattice": [[0.000, 3.762, 3.762], [3.762, 0.000, 3.762], [3.762, 3.762, 0.000]], "species": ["La", "Al", "P", "P", "P", "P"], "fractional_positions": [[0.000, 0.000, 0.000], [0.750, 0.750, 0.750], [0.386, 0.386, 0.386], [0.386, 0.386, 0.842], [0.386, 0.842, 0.386], [0.842, 0.386, 0.386]], "ef_ev_per_atom": -0.194, "space_group": "No. 216", "crystal_system": "cubic"}

---

[3]
{"formula": "CaGa2Pd2", "functional": "GGA-PBEsol", "state": "optimized geometry", "lattice": [[4.147, 0.000, 0.000], [0.000, 4.147, 0.000], [0.000, 0.000, 10.877]], "species": ["Ca", "Ca", "Ga", "Ga", "Ga", "Ga", "Pd", "Pd", "Pd", "Pd"], "fractional_positions": [[0.000, 0.000, 0.000], [0.500, 0.500, 0.500], [0.000, 0.500, 0.250], [0.000, 0.500, 0.750], [0.500, 0.000, 0.250], [0.500, 0.000, 0.750], [0.000, 0.000, 0.379], [0.000, 0.000, 0.621], [0.500, 0.500, 0.121], [0.500, 0.500, 0.879]], "ef_ev_per_atom": -0.664, "space_group": "No. 139", "crystal_system": "tetragonal"}